Entry 1:
# Tb2Pr3Dy6Er

An optimized crystal structure of Tb2Pr3Dy6Er (PBE, the Alexandria database).

abc: 6.2157 6.2157 11.8534
angles: 95.00 95.00 119.99
Last column: nearest neighbours and their distance in Å.
Fractional positions:
1 Tb 0.3334 0.6666 0.0000  6 Dy 3.53-3.54, 3 Tb 3.59, 3 Er 3.59
2 Tb 0.6666 0.3334 0.0000  6 Dy 3.53-3.54, 3 Tb 3.59, 3 Er 3.59
3 Pr 0.1666 0.8334 0.5000  6 Pr 3.59, 6 Dy 3.62
4 Pr 0.8334 0.1666 0.5000  6 Pr 3.59, 6 Dy 3.62
5 Pr 0.5000 0.5000 0.5000  6 Pr 3.59, 6 Dy 3.62
6 Dy 0.9179 0.5849 0.7545  2 Tb 3.53-3.54, 1 Er 3.54, 6 Dy 3.59, 3 Pr 3.62
7 Dy 0.7491 0.7491 0.2456  1 Er 3.53, 2 Tb 3.54, 6 Dy 3.59, 3 Pr 3.62
8 Dy 0.0821 0.4151 0.2455  2 Tb 3.53-3.54, 1 Er 3.54, 6 Dy 3.59, 3 Pr 3.62
9 Dy 0.5849 0.9179 0.7545  2 Tb 3.53-3.54, 1 Er 3.54, 6 Dy 3.59, 3 Pr 3.62
10 Dy 0.2509 0.2509 0.7544  1 Er 3.53, 2 Tb 3.54, 6 Dy 3.59, 3 Pr 3.62
11 Dy 0.4151 0.0821 0.2455  2 Tb 3.53-3.54, 1 Er 3.54, 6 Dy 3.59, 3 Pr 3.62
12 Er 0.0000 0.0000 0.0000  6 Dy 3.53-3.54, 6 Tb 3.59

=====

Entry 2:
# TbPr4Dy2Er2

An optimized crystal structure of TbPr4Dy2Er2 (PBE, the Alexandria database).

abc: 5.1067 8.0914 8.0671
angles: 107.43 90.00 108.39
Last column: nearest neighbours and their distance in Å.
Fractional positions:
1 Tb 0.0000 0.0000 0.0000  2 Dy 3.59, 6 Pr 3.59-3.62, 4 Er 3.63
2 Pr 0.7771 0.5542 0.6691  3 Er 3.57-3.60, 3 Dy 3.61-3.66, 1 Tb 3.62, 5 Pr 3.64-3.65
3 Pr 0.2229 0.4458 0.3309  3 Er 3.57-3.60, 3 Dy 3.61-3.66, 1 Tb 3.62, 5 Pr 3.64-3.65
4 Pr 0.5536 0.1072 0.3301  2 Tb 3.59, 2 Er 3.59-3.62, 4 Dy 3.60-3.65, 4 Pr 3.62-3.65
5 Pr 0.4464 0.8928 0.6699  2 Tb 3.59, 2 Er 3.59-3.62, 4 Dy 3.60-3.65, 4 Pr 3.62-3.65
6 Dy 0.8885 0.7770 0.3297  3 Er 3.59, 1 Tb 3.59, 7 Pr 3.60-3.66, 1 Dy 3.65
7 Dy 0.1115 0.2230 0.6703  3 Er 3.59, 1 Tb 3.59, 7 Pr 3.60-3.66, 1 Dy 3.65
8 Er 0.3323 0.6646 0.0004  5 Pr 3.57-3.62, 3 Dy 3.59, 2 Er 3.59, 2 Tb 3.63
9 Er 0.6677 0.3354 0.9996  5 Pr 3.57-3.62, 3 Dy 3.59, 2 Er 3.59, 2 Tb 3.63

=====

Entry 3:
# Tb5Pr2DyEr

An optimized crystal structure of Tb5Pr2DyEr (PBE, the Alexandria database).

abc: 8.6120 8.6120 10.0525
angles: 115.36 115.36 90.00
Last column: nearest neighbours and their distance in Å.
Fractional positions:
1 Tb 0.9273 0.4273 0.2839  1 Pr 3.04, 1 Er 3.13
2 Tb 0.6435 0.1435 0.7161  1 Pr 3.04, 1 Er 3.13
3 Tb 0.0727 0.5727 0.7161  1 Pr 3.04, 1 Er 3.13
4 Tb 0.1435 0.0727 0.7161  1 Pr 3.04, 1 Er 3.13
5 Tb 0.5727 0.6435 0.7161  1 Pr 3.04, 1 Er 3.13
6 Tb 0.8565 0.9273 0.2839  1 Pr 3.04, 1 Er 3.13
7 Tb 0.4273 0.3565 0.2839  1 Pr 3.04, 1 Er 3.13
8 Tb 0.3565 0.8565 0.2839  1 Pr 3.04, 1 Er 3.13
9 Tb 0.5000 0.5000 0.0000  4 Pr 3.44, 8 Tb 3.82
10 Tb 0.0000 0.0000 0.0000  4 Pr 3.44, 8 Tb 3.82
11 Pr 0.1194 0.3806 0.0000  1 Pr 2.91, 2 Tb 3.04
12 Pr 0.6194 0.1194 0.0000  1 Pr 2.91, 2 Tb 3.04
13 Pr 0.3806 0.8806 0.0000  1 Pr 2.91, 2 Tb 3.04
14 Pr 0.8806 0.6194 0.0000  1 Pr 2.91, 2 Tb 3.04
15 Dy 0.2500 0.2500 0.5000  8 Tb 3.53
16 Dy 0.7500 0.7500 0.5000  8 Tb 3.53
17 Er 0.2500 0.7500 0.5000  4 Tb 3.13
18 Er 0.7500 0.2500 0.5000  4 Tb 3.13

=====

Entry 4:
# Tb4Pr2Dy2Er

An optimized crystal structure of Tb4Pr2Dy2Er (PBE, the Alexandria database).

abc: 6.2061 9.4874 8.0083
angles: 120.43 130.22 56.92
Last column: nearest neighbours and their distance in Å.
Fractional positions:
1 Tb 0.7784 0.8892 0.2220  5 Tb 3.57-3.58, 2 Dy 3.57-3.60, 3 Pr 3.57-3.58, 2 Er 3.58-3.59
2 Tb 0.5528 0.7801 0.4435  4 Tb 3.55-3.58, 2 Er 3.56-3.58, 3 Dy 3.57-3.60, 3 Pr 3.58-3.61
3 Tb 0.2216 0.1108 0.7780  5 Tb 3.57-3.58, 2 Dy 3.57-3.60, 3 Pr 3.57-3.58, 2 Er 3.58-3.59
4 Tb 0.4472 0.2199 0.5565  4 Tb 3.55-3.58, 2 Er 3.56-3.58, 3 Dy 3.57-3.60, 3 Pr 3.58-3.61
5 Pr 0.3304 0.6683 0.6673  1 Er 3.57, 6 Tb 3.57-3.61, 4 Dy 3.58-3.60, 1 Pr 3.62
6 Pr 0.6696 0.3317 0.3327  1 Er 3.57, 6 Tb 3.57-3.61, 4 Dy 3.58-3.60, 1 Pr 3.62
7 Dy 0.8884 0.4436 0.1093  5 Tb 3.57-3.60, 2 Dy 3.57-3.58, 4 Pr 3.58-3.60, 1 Er 3.58
8 Dy 0.1116 0.5564 0.8907  5 Tb 3.57-3.60, 2 Dy 3.57-3.58, 4 Pr 3.58-3.60, 1 Er 3.58
9 Er 0.0000 0.0000 0.0000  8 Tb 3.56-3.59, 2 Pr 3.57, 2 Dy 3.58

=====

Entry 5:
# TbPrDy3Er

An optimized crystal structure of TbPrDy3Er (PBE, the Alexandria database).

abc: 5.6254 10.3479 7.0133
angles: 89.78 90.00 105.77
Last column: nearest neighbours and their distance in Å.
Fractional positions:
1 Tb 0.6503 0.3005 0.4558  1 Pr 3.01, 2 Dy 3.20-3.34
2 Tb 0.3497 0.6995 0.5442  1 Pr 3.01, 2 Dy 3.20-3.34
3 Pr 0.3569 0.7138 0.9734  1 Tb 3.01, 2 Dy 3.17-3.28
4 Pr 0.6431 0.2862 0.0266  1 Tb 3.01, 2 Dy 3.17-3.28
5 Dy 0.8372 0.6745 0.2727  2 Tb 3.41, 2 Pr 3.53, 4 Dy 3.61-3.78, 1 Er 3.78
6 Dy 0.7788 0.5576 0.7606  3 Pr 3.28-3.55, 1 Er 3.28, 3 Tb 3.34-3.49, 3 Dy 3.61-3.65
7 Dy 0.4774 0.9548 0.2663  1 Pr 3.17, 1 Tb 3.20, 2 Er 3.23, 1 Dy 3.40
8 Dy 0.2212 0.4424 0.2394  3 Pr 3.28-3.55, 1 Er 3.28, 3 Tb 3.34-3.49, 3 Dy 3.61-3.65
9 Dy 0.5226 0.0452 0.7337  1 Pr 3.17, 1 Tb 3.20, 2 Er 3.23, 1 Dy 3.40
10 Dy 0.1628 0.3255 0.7273  2 Tb 3.41, 2 Pr 3.53, 4 Dy 3.61-3.78, 1 Er 3.78
11 Er 0.0569 0.1139 0.2805  3 Dy 3.23-3.28, 2 Tb 3.59
12 Er 0.9431 0.8861 0.7195  3 Dy 3.23-3.28, 2 Tb 3.59

=====

Entry 6:
# Tb2Pr4DyEr2

An optimized crystal structure of Tb2Pr4DyEr2 (PBE, the Alexandria database).

abc: 5.1151 8.1008 8.0673
angles: 107.49 90.00 108.40
Last column: nearest neighbours and their distance in Å.
Fractional positions:
1 Tb 0.8885 0.7770 0.3295  3 Er 3.59, 1 Dy 3.59, 7 Pr 3.60-3.66, 1 Tb 3.65
2 Tb 0.1115 0.2230 0.6705  3 Er 3.59, 1 Dy 3.59, 7 Pr 3.60-3.66, 1 Tb 3.65
3 Pr 0.7773 0.5545 0.6694  3 Er 3.58-3.60, 3 Tb 3.61-3.66, 1 Dy 3.61, 5 Pr 3.64-3.65
4 Pr 0.2227 0.4455 0.3306  3 Er 3.58-3.60, 3 Tb 3.61-3.66, 1 Dy 3.61, 5 Pr 3.64-3.65
5 Pr 0.5537 0.1075 0.3300  2 Er 3.59-3.62, 2 Dy 3.59, 4 Tb 3.60-3.65, 4 Pr 3.62-3.65
6 Pr 0.4463 0.8925 0.6700  2 Er 3.59-3.62, 2 Dy 3.59, 4 Tb 3.60-3.65, 4 Pr 3.62-3.65
7 Dy 0.0000 0.0000 0.0000  2 Tb 3.59, 6 Pr 3.59-3.61, 4 Er 3.63
8 Er 0.3325 0.6650 0.0004  5 Pr 3.58-3.62, 3 Tb 3.59, 2 Er 3.60, 2 Dy 3.63
9 Er 0.6675 0.3350 0.9996  5 Pr 3.58-3.62, 3 Tb 3.59, 2 Er 3.60, 2 Dy 3.63

=====

Entry 7:
# Tb3PrDy2Er6

An optimized crystal structure of Tb3PrDy2Er6 (PBE, the Alexandria database).

abc: 6.1340 6.1340 11.7146
angles: 94.99 94.99 119.96
Last column: nearest neighbours and their distance in Å.
Fractional positions:
1 Tb 0.1669 0.8331 0.5000  6 Er 3.52-3.53, 6 Tb 3.54-3.55
2 Tb 0.8331 0.1669 0.5000  6 Er 3.52-3.53, 6 Tb 3.54-3.55
3 Tb 0.5000 0.5000 0.5000  6 Er 3.52, 6 Tb 3.54
4 Pr 0.0000 0.0000 0.0000  6 Dy 3.54, 6 Er 3.55
5 Dy 0.3333 0.6667 0.0000  3 Pr 3.54, 3 Dy 3.54, 6 Er 3.54-3.55
6 Dy 0.6667 0.3333 0.0000  3 Pr 3.54, 3 Dy 3.54, 6 Er 3.54-3.55
7 Er 0.9155 0.5815 0.7488  3 Tb 3.52-3.53, 6 Er 3.54-3.55, 2 Dy 3.54-3.55, 1 Pr 3.55
8 Er 0.7502 0.7502 0.2511  3 Tb 3.52-3.53, 6 Er 3.54-3.55, 1 Pr 3.55, 2 Dy 3.55
9 Er 0.0845 0.4185 0.2512  3 Tb 3.52-3.53, 6 Er 3.54-3.55, 2 Dy 3.54-3.55, 1 Pr 3.55
10 Er 0.5815 0.9155 0.7488  3 Tb 3.52-3.53, 6 Er 3.54-3.55, 2 Dy 3.54-3.55, 1 Pr 3.55
11 Er 0.2498 0.2498 0.7489  3 Tb 3.52-3.53, 6 Er 3.54-3.55, 1 Pr 3.55, 2 Dy 3.55
12 Er 0.4185 0.0845 0.2512  3 Tb 3.52-3.53, 6 Er 3.54-3.55, 2 Dy 3.54-3.55, 1 Pr 3.55

=====

Entry 8:
# Tb2PrDy6Er3

An optimized crystal structure of Tb2PrDy6Er3 (PBE, the Alexandria database).

abc: 6.1460 6.1460 11.7653
angles: 94.97 94.97 119.94
Last column: nearest neighbours and their distance in Å.
Fractional positions:
1 Tb 0.3334 0.6666 0.0000  3 Tb 3.55, 3 Pr 3.55, 6 Dy 3.57-3.58
2 Tb 0.6666 0.3334 0.0000  3 Tb 3.55, 3 Pr 3.55, 6 Dy 3.57-3.58
3 Pr 0.0000 0.0000 0.0000  6 Tb 3.55, 6 Dy 3.58
4 Dy 0.9149 0.5809 0.7469  3 Er 3.51-3.52, 6 Dy 3.54-3.56, 2 Tb 3.57-3.58, 1 Pr 3.58
5 Dy 0.7508 0.7508 0.2530  3 Er 3.52, 6 Dy 3.54-3.56, 1 Pr 3.58, 2 Tb 3.58
6 Dy 0.0851 0.4191 0.2531  3 Er 3.51-3.52, 6 Dy 3.54-3.56, 2 Tb 3.57-3.58, 1 Pr 3.58
7 Dy 0.5809 0.9149 0.7469  3 Er 3.51-3.52, 6 Dy 3.54-3.56, 2 Tb 3.57-3.58, 1 Pr 3.58
8 Dy 0.2492 0.2492 0.7470  3 Er 3.52, 6 Dy 3.54-3.56, 1 Pr 3.58, 2 Tb 3.58
9 Dy 0.4191 0.0851 0.2531  3 Er 3.51-3.52, 6 Dy 3.54-3.56, 2 Tb 3.57-3.58, 1 Pr 3.58
10 Er 0.1670 0.8330 0.5000  6 Dy 3.51-3.52, 6 Er 3.54-3.55
11 Er 0.8330 0.1670 0.5000  6 Dy 3.51-3.52, 6 Er 3.54-3.55
12 Er 0.5000 0.5000 0.5000  6 Dy 3.52, 6 Er 3.54-3.55

=====

Entry 9:
# Tb2Pr2Dy2Er

An optimized crystal structure of Tb2Pr2Dy2Er (PBE, the Alexandria database).

abc: 3.5316 6.1455 11.8980
angles: 71.50 90.00 106.70
Last column: nearest neighbours and their distance in Å.
Fractional positions:
1 Tb 0.4496 0.8993 0.7674  3 Dy 3.48-3.58, 2 Er 3.51, 2 Tb 3.53, 4 Pr 3.57-3.63
2 Tb 0.5504 0.1007 0.2326  3 Dy 3.48-3.58, 2 Er 3.51, 2 Tb 3.53, 4 Pr 3.57-3.63
3 Pr 0.6703 0.3407 0.9147  5 Pr 3.53-3.85, 4 Tb 3.57-3.63, 2 Dy 3.63
4 Pr 0.3297 0.6593 0.0853  5 Pr 3.53-3.85, 4 Tb 3.57-3.63, 2 Dy 3.63
5 Dy 0.7733 0.5467 0.3653  3 Tb 3.48-3.58, 4 Dy 3.53-3.54, 3 Er 3.54-3.55, 2 Pr 3.63
6 Dy 0.2267 0.4533 0.6347  3 Tb 3.48-3.58, 4 Dy 3.53-3.54, 3 Er 3.54-3.55, 2 Pr 3.63
7 Er 0.0000 0.0000 0.5000  4 Tb 3.51, 2 Er 3.53, 6 Dy 3.54-3.55

=====

Entry 10:
# TbPr6Dy3Er2

An optimized crystal structure of TbPr6Dy3Er2 (PBE, the Alexandria database).

abc: 6.3008 6.3008 11.8689
angles: 95.06 95.06 120.00
Last column: nearest neighbours and their distance in Å.
Fractional positions:
1 Tb 0.0000 0.0000 0.0000  6 Pr 3.59-3.60, 6 Er 3.64
2 Pr 0.9165 0.5829 0.7503  2 Er 3.59-3.60, 1 Tb 3.60, 3 Dy 3.60, 6 Pr 3.64
3 Pr 0.7499 0.7499 0.2495  1 Tb 3.59, 2 Er 3.59, 3 Dy 3.60, 6 Pr 3.64
4 Pr 0.0835 0.4171 0.2497  2 Er 3.59-3.60, 1 Tb 3.60, 3 Dy 3.60, 6 Pr 3.64
5 Pr 0.5829 0.9165 0.7503  2 Er 3.59-3.60, 1 Tb 3.60, 3 Dy 3.60, 6 Pr 3.64
6 Pr 0.2501 0.2501 0.7505  1 Tb 3.59, 2 Er 3.59, 3 Dy 3.60, 6 Pr 3.64
7 Pr 0.4171 0.0835 0.2497  2 Er 3.59-3.60, 1 Tb 3.60, 3 Dy 3.60, 6 Pr 3.64
8 Dy 0.1667 0.8333 0.5000  6 Pr 3.60, 6 Dy 3.64
9 Dy 0.8333 0.1667 0.5000  6 Pr 3.60, 6 Dy 3.64
10 Dy 0.5000 0.5000 0.5000  6 Pr 3.60, 6 Dy 3.64
11 Er 0.3334 0.6666 0.0000  6 Pr 3.59-3.60, 3 Er 3.64, 3 Tb 3.64
12 Er 0.6666 0.3334 0.0000  6 Pr 3.59-3.60, 3 Er 3.64, 3 Tb 3.64

=====

no.,total energy (eV/atom),ΔE_f (eV per formula unit)
1,-4.63,0.2
2,-4.65,0.2
3,-4.38,2.5
4,-4.63,0.2
5,-4.42,1.3
6,-4.66,0.2
7,-4.59,0.2
8,-4.59,0.2
9,-4.57,0.6
10,-4.67,0.1